Model i:
YHoCo2: relaxed, PBE.

The space group is Pmc2_1 (No. 26) and the conventional cell measures 3.864, 5.529 and 7.500 Å, with angles of 90.00, 90.00 and 90.00 degrees. The distinct sites, in fractional coordinates, are Y at (0.000, 0.134, 0.000), Ho at (0.500, 0.366, 0.644), Co at (0.000, 0.352, 0.350) and Co at (0.500, 0.156, 0.296).

Model ii:
YHoCo2: relaxed, PBE.

The space group is Fm-3m (No. 225) and the conventional cell measures 6.674, 6.674 and 6.674 Å, with angles of 90.00, 90.00 and 90.00 degrees. The distinct sites, in fractional coordinates, are Y at (0.000, 0.000, 0.000), Ho at (0.000, 0.000, 0.500) and Co at (0.250, 0.250, 0.250).

Result of the stability comparison: model i is the most stable of them.

Model i:
YHoZnCo: relaxed, PBE.

The space group is F-43m (No. 216) and the conventional cell measures 6.884, 6.884 and 6.884 Å, with angles of 90.00, 90.00 and 90.00 degrees. The distinct sites, in fractional coordinates, are Y at (0.000, 0.000, 0.000), Ho at (0.000, 0.000, 0.500), Zn at (0.250, 0.250, 0.750) and Co at (0.250, 0.250, 0.250).

Model ii:
YHoZnCo: relaxed, PBE.

The space group is Amm2 (No. 38) and the conventional cell measures 4.206, 3.850 and 10.594 Å, with angles of 90.00, 90.00 and 90.00 degrees. The distinct sites, in fractional coordinates, are Y at (0.000, 0.000, 0.000), Ho at (0.500, 0.000, 0.718), Zn at (0.500, 0.000, 0.424) and Co at (0.000, 0.000, 0.291).

Result of the stability comparison: model ii is the most stable of them.